1.
The following is a GGA-PBE calculation of an optimized crystal structure of AcPuO6, from the Alexandria database.

a = 4.8765 Å, b = 4.8765 Å, c = 4.8765 Å
α = 97.37°, β = 97.37°, γ = 97.37°
Fractional positions:
Ac 0.0000 0.0000 0.0000
Pu 0.5000 0.5000 0.5000
O 0.2134 0.2134 0.5768
O 0.2134 0.5768 0.2134
O 0.4232 0.7866 0.7866
O 0.5768 0.2134 0.2134
O 0.7866 0.4232 0.7866
O 0.7866 0.7866 0.4232

## Properties
formation energy (no corrections) = -1688 kJ/mol of formula units
total magnetic moment = 0.000 μB per formula unit



2.
The following is a GGA-PBE calculation of an optimized crystal structure of Ti2CdPt3, from the Alexandria database.

a = 3.0732 Å, b = 3.0732 Å, c = 10.6117 Å
α = 90.00°, β = 90.00°, γ = 90.00°
Fractional positions:
Ti 0.0000 0.0000 0.1644
Ti 0.0000 0.0000 0.8356
Cd 0.0000 0.0000 0.5000
Pt 0.5000 0.5000 0.0000
Pt 0.5000 0.5000 0.3072
Pt 0.5000 0.5000 0.6928

## Properties
energy of formation from the pure elements = -0.7409 eV per atom
total magnetic moment = 0.001 μB per formula unit